[1]
A plane-wave DFT calculation with PBE was carried out for a geometry-optimized InFeSe2 structure. Values from VASP.

Cell and atoms, written as Quantum ESPRESSO input:
```
&SYSTEM
  ibrav = 0, nat = 4, ntyp = 3
/
ATOMIC_SPECIES
In 114.82 In.upf
Fe 55.84 Fe.upf
Se 78.96 Se.upf
CELL_PARAMETERS angstrom
3.7284 0.0000 0.0000
0.0000 3.8330 0.0000
0.0000 0.0000 6.8469
ATOMIC_POSITIONS crystal
In 0.0000 0.0000 0.0000
Fe 0.0000 0.5000 0.5000
Se 0.5000 0.0000 0.5000
Se 0.5000 0.5000 0.0000
```

**Formation energy (no corrections)**: 195 meV per atom
**Electronic total energy**: -4.35 eV per atom

[2]
A plane-wave DFT calculation with PBE was carried out for a geometry-optimized InFeSe2 structure. Values from VASP.

Cell and atoms, written as Quantum ESPRESSO input:
```
&SYSTEM
  ibrav = 0, nat = 8, ntyp = 3
/
ATOMIC_SPECIES
In 114.82 In.upf
Fe 55.84 Fe.upf
Se 78.96 Se.upf
CELL_PARAMETERS angstrom
-2.9840 2.9840 5.9329
2.9840 -2.9840 5.9329
2.9840 2.9840 -5.9329
ATOMIC_POSITIONS crystal
In 0.0000 0.0000 0.0000
In 0.7500 0.2500 0.5000
Fe 0.2500 0.7500 0.5000
Fe 0.5000 0.5000 0.0000
Se 0.1731 0.6250 0.0481
Se 0.3750 0.4231 0.5481
Se 0.5769 0.1250 0.9519
Se 0.8750 0.8269 0.4519
```

**Formation energy (no corrections)**: -212 meV per atom
**Electronic total energy**: -4.75 eV per atom

[3]
A plane-wave DFT calculation with PBE was carried out for a geometry-optimized InFeSe2 structure. Values from VASP.

Cell and atoms, written as Quantum ESPRESSO input:
```
&SYSTEM
  ibrav = 0, nat = 4, ntyp = 3
/
ATOMIC_SPECIES
In 114.82 In.upf
Fe 55.84 Fe.upf
Se 78.96 Se.upf
CELL_PARAMETERS angstrom
5.0105 0.0000 0.0000
0.0000 3.5282 0.0000
-2.3363 0.0000 4.7591
ATOMIC_POSITIONS crystal
In 0.0000 0.0000 0.0000
Fe 0.0000 0.0000 0.5000
Se 0.3481 0.5000 0.6554
Se 0.6519 0.5000 0.3446
```

**Formation energy (no corrections)**: -94 meV per atom
**Electronic total energy**: -4.64 eV per atom

[4]
A plane-wave DFT calculation with PBE was carried out for a geometry-optimized InFeSe2 structure. Values from VASP.

Cell and atoms, written as Quantum ESPRESSO input:
```
&SYSTEM
  ibrav = 0, nat = 4, ntyp = 3
/
ATOMIC_SPECIES
In 114.82 In.upf
Fe 55.84 Fe.upf
Se 78.96 Se.upf
CELL_PARAMETERS angstrom
3.3325 -1.9175 0.0000
3.3325 1.9175 0.0000
-2.2130 0.0000 6.7111
ATOMIC_POSITIONS crystal
In 0.0000 0.0000 0.0000
Fe 0.5000 0.5000 0.5000
Se 0.2367 0.2367 0.7115
Se 0.7633 0.7633 0.2885
```

**Formation energy (no corrections)**: -192 meV per atom
**Electronic total energy**: -4.73 eV per atom